# 1
The following is a DFT calculation (PBE) of OsRh after structural relaxation.

- Space group: C2/m (12)
- DOS at the Fermi energy: 3.72 states/eV per cell

Lattice parameters (Å, degrees): 5.143 5.182 5.182 149.39 125.14 64.20
Sites, in units of the cell vectors:
Rh1 0.492 0.496 0.996
Rh2 0.591 0.254 0.337
Os1 0.006 0.004 0.002
Os2 0.078 0.746 0.331

=====

# 2
The following is a DFT calculation (PBE) of OsRh after structural relaxation.

- Space group: P4/m (83)
- DOS at the Fermi energy: 11.78 states/eV per cell

Lattice parameters (Å, degrees): 10.946 10.946 3.873 90.00 90.00 90.00
Sites, in units of the cell vectors:
Os1 0.772 0.361 0.500
Os2 0.228 0.639 0.500
Os3 0.639 0.772 0.500
Os4 0.361 0.228 0.500
Os5 0.877 0.587 0.000
Os6 0.123 0.413 0.000
Os7 0.413 0.877 0.000
Os8 0.587 0.123 0.000
Rh1 0.750 0.578 0.500
Rh2 0.250 0.422 0.500
Rh3 0.422 0.750 0.500
Rh4 0.578 0.250 0.500
Rh5 0.905 0.373 0.000
Rh6 0.095 0.627 0.000
Rh7 0.627 0.905 0.000
Rh8 0.373 0.095 0.000

=====

Number 1: energy -9.2265 eV per atom, energy relative to the elements 0.06 eV/atom. Number 2: energy -7.6751 eV per atom, energy relative to the elements 1.62 eV/atom.